[1]
Below is an optimized crystal structure of HoMgCd2, with properties calculated at the GGA-PBE level.

Cell lengths 5.081, 5.081, 5.081 Å; angles 60.00, 60.00, 60.00 degrees
Element x y z (fractional)
Mg (0.250, 0.250, 0.250)
Ho (0.750, 0.750, 0.750)
Cd (0.500, 0.500, 0.500)
Cd (0.000, 0.000, 0.000)

magnetic moment = 0.000 μB/atom
E_tot = -2.306 eV/atom
space group = Fm-3m, No. 225

=====

[2]
Below is an optimized crystal structure of Ho3MgCd4, with properties calculated at the GGA-PBE level.

Cell lengths 5.121, 7.528, 10.244 Å; angles 90.00, 90.00, 90.00 degrees
Element x y z (fractional)
Mg (0.000, 0.500, 0.000)
Mg (0.000, 0.500, 0.500)
Ho (0.000, 0.000, 0.000)
Ho (0.000, 0.000, 0.500)
Ho (0.500, 0.000, 0.750)
Ho (0.500, 0.000, 0.250)
Ho (0.500, 0.500, 0.750)
Ho (0.500, 0.500, 0.250)
Cd (0.500, 0.739, 0.000)
Cd (0.500, 0.739, 0.500)
Cd (0.500, 0.261, 0.000)
Cd (0.500, 0.261, 0.500)
Cd (0.000, 0.739, 0.750)
Cd (0.000, 0.739, 0.250)
Cd (0.000, 0.261, 0.250)
Cd (0.000, 0.261, 0.750)

distance to the lowest polymorph of the same formula = 0 meV per atom
magnetic moment = 0.002 μB/atom
space group = P4/mmm, No. 123

=====

[3]
Below is an optimized crystal structure of Ho5MgCd2, with properties calculated at the GGA-PBE level.

Cell lengths 4.832, 6.082, 16.338 Å; angles 90.00, 90.00, 113.40 degrees
Element x y z (fractional)
Ho (0.958, 0.916, 0.901)
Ho (0.958, 0.916, 0.599)
Ho (0.349, 0.699, 0.466)
Ho (0.349, 0.699, 0.034)
Ho (0.493, 0.985, 0.250)
Ho (0.507, 0.015, 0.750)
Ho (0.651, 0.301, 0.534)
Ho (0.651, 0.301, 0.966)
Ho (0.042, 0.084, 0.099)
Ho (0.042, 0.084, 0.401)
Mg (0.788, 0.576, 0.750)
Mg (0.212, 0.424, 0.250)
Cd (0.765, 0.530, 0.347)
Cd (0.765, 0.530, 0.153)
Cd (0.235, 0.470, 0.653)
Cd (0.235, 0.470, 0.847)

magnetic moment = 0.000 μB/atom
E_tot = -3.364 eV/atom
space group = Cmcm, No. 63

=====

[4]
Below is an optimized crystal structure of Ho3Mg6Cd2, with properties calculated at the GGA-PBE level.

Cell lengths 4.174, 4.174, 17.147 Å; angles 96.99, 96.99, 90.00 degrees
Site moments in Bohr magnetons follow the coordinates.
Element x y z (fractional)
Ho (0.000, 0.000, 0.000)  0.27
Ho (0.832, 0.832, 0.663)  0.03
Ho (0.168, 0.168, 0.337)  0.03
Mg (0.079, 0.579, 0.158)  0.01
Mg (0.579, 0.079, 0.158)  0.01
Mg (0.921, 0.421, 0.842)  0.01
Mg (0.421, 0.921, 0.842)  0.01
Mg (0.729, 0.729, 0.457)  0.00
Mg (0.271, 0.271, 0.543)  0.00
Cd (0.359, 0.359, 0.717)  0.00
Cd (0.641, 0.641, 0.283)  0.00

magnetic moment = 0.064 μB/atom
E_tot = -2.241 eV/atom
space group = I4/mmm, No. 139